(1)
Below is a relaxed structure of CsHfIr2, with properties calculated at the PBE level.

```
data_CsHfIr2
_space_group_name_H-M_alt 'F m -3 m'
_space_group_IT_number 225
_space_group_name_Hall '-F 4 2 3'
_cell_length_a 6.941
_cell_length_b 6.941
_cell_length_c 6.941
_cell_angle_alpha 90.00
_cell_angle_beta 90.00
_cell_angle_gamma 90.00
loop_
_atom_site_label
_atom_site_type_symbol
_atom_site_fract_x
_atom_site_fract_y
_atom_site_fract_z
Cs1 Cs 0.000 0.000 0.000
Hf1 Hf 0.000 0.000 0.500
Ir1 Ir 0.250 0.250 0.250
```

As for the spin magnetization: 0.000 Bohr magnetons per cell. The value obtained for the energy of formation is 331.9 kJ/mol of formula units.

***

(2)
Below is a relaxed structure of Cs2HfIr, with properties calculated at the PBE level.

```
data_Cs2HfIr
_space_group_name_H-M_alt 'I -4 2 d'
_space_group_IT_number 122
_space_group_name_Hall 'I -4 2bw'
_cell_length_a 13.374
_cell_length_b 13.374
_cell_length_c 4.914
_cell_angle_alpha 90.00
_cell_angle_beta 90.00
_cell_angle_gamma 90.00
loop_
_atom_site_label
_atom_site_type_symbol
_atom_site_fract_x
_atom_site_fract_y
_atom_site_fract_z
Cs1 Cs 0.087 0.750 0.125
Hf1 Hf 0.000 0.000 0.500
Ir1 Ir 0.000 0.000 0.000
```

As for the spin magnetization: 0.000 Bohr magnetons per cell. The value obtained for the energy of formation is 296.2 kJ/mol of formula units.

***

(3)
Below is a relaxed structure of Cs2HfMgIr, with properties calculated at the PBE level.

```
data_Cs2HfMgIr
_space_group_name_H-M_alt 'P 4/m m m'
_space_group_IT_number 123
_space_group_name_Hall '-P 4 2'
_cell_length_a 6.230
_cell_length_b 6.230
_cell_length_c 5.102
_cell_angle_alpha 90.00
_cell_angle_beta 90.00
_cell_angle_gamma 90.00
loop_
_atom_site_label
_atom_site_type_symbol
_atom_site_fract_x
_atom_site_fract_y
_atom_site_fract_z
Cs1 Cs 0.000 0.500 0.000
Hf1 Hf 0.000 0.000 0.500
Mg1 Mg 0.500 0.500 0.500
Ir1 Ir 0.500 0.500 0.000
```

As for the spin magnetization: 0.625 Bohr magnetons per cell. The value obtained for the energy of formation is 711.3 kJ/mol of formula units.

***

(4)
Below is a relaxed structure of Cs2NaHfIr, with properties calculated at the PBE level.

```
data_Cs2NaHfIr
_space_group_name_H-M_alt 'P 4/m m m'
_space_group_IT_number 123
_space_group_name_Hall '-P 4 2'
_cell_length_a 5.784
_cell_length_b 5.784
_cell_length_c 5.218
_cell_angle_alpha 90.00
_cell_angle_beta 90.00
_cell_angle_gamma 90.00
loop_
_atom_site_label
_atom_site_type_symbol
_atom_site_fract_x
_atom_site_fract_y
_atom_site_fract_z
Cs1 Cs 0.000 0.500 0.000
Na1 Na 0.000 0.000 0.000
Hf1 Hf 0.500 0.500 0.500
Ir1 Ir 0.000 0.000 0.500
```

As for the spin magnetization: 1.978 Bohr magnetons per cell. The value obtained for the energy of formation is 819.0 kJ/mol of formula units.

***

(5)
Below is a relaxed structure of CsHfIrSe2, with properties calculated at the PBE level.

```
data_CsHfIrSe2
_space_group_name_H-M_alt 'P 4/m m m'
_space_group_IT_number 123
_space_group_name_Hall '-P 4 2'
_cell_length_a 5.448
_cell_length_b 5.448
_cell_length_c 4.848
_cell_angle_alpha 90.00
_cell_angle_beta 90.00
_cell_angle_gamma 90.00
loop_
_atom_site_label
_atom_site_type_symbol
_atom_site_fract_x
_atom_site_fract_y
_atom_site_fract_z
Cs1 Cs 0.000 0.000 0.000
Hf1 Hf 0.500 0.500 0.000
Ir1 Ir 0.500 0.500 0.500
Se1 Se 0.000 0.500 0.500
```

The calculation puts the formation energy from raw total energies at 0.90 eV per formula unit. As for the spin magnetization: 0.325 Bohr magnetons per cell.

***

(6)
Below is a relaxed structure of CsKHf3, with properties calculated at the PBE level.

```
data_CsKHf3
_space_group_name_H-M_alt 'P m -3 m'
_space_group_IT_number 221
_space_group_name_Hall '-P 4 2 3'
_cell_length_a 5.476
_cell_length_b 5.476
_cell_length_c 5.476
_cell_angle_alpha 90.00
_cell_angle_beta 90.00
_cell_angle_gamma 90.00
loop_
_atom_site_label
_atom_site_type_symbol
_atom_site_fract_x
_atom_site_fract_y
_atom_site_fract_z
Cs1 Cs 0.000 0.000 0.000
K1 K 0.500 0.500 0.500
Hf1 Hf 0.000 0.000 0.500
```

As for the spin magnetization: 0.000 Bohr magnetons per cell. The value obtained for the energy of formation is 1079.3 kJ/mol of formula units.

***

(7)
Below is a relaxed structure of CsK3Hf, with properties calculated at the PBE level.

```
data_CsK3Hf
_space_group_name_H-M_alt 'P m -3 m'
_space_group_IT_number 221
_space_group_name_Hall '-P 4 2 3'
_cell_length_a 7.031
_cell_length_b 7.031
_cell_length_c 7.031
_cell_angle_alpha 90.00
_cell_angle_beta 90.00
_cell_angle_gamma 90.00
loop_
_atom_site_label
_atom_site_type_symbol
_atom_site_fract_x
_atom_site_fract_y
_atom_site_fract_z
Cs1 Cs 0.000 0.000 0.000
K1 K 0.000 0.000 0.500
Hf1 Hf 0.500 0.500 0.500
```

As for the spin magnetization: 4.058 Bohr magnetons per cell. The value obtained for the energy of formation is 685.2 kJ/mol of formula units.

***

(8)
Below is a relaxed structure of CsKHf3, with properties calculated at the PBE level.

```
data_CsKHf3
_space_group_name_H-M_alt 'P m -3 m'
_space_group_IT_number 221
_space_group_name_Hall '-P 4 2 3'
_cell_length_a 5.457
_cell_length_b 5.457
_cell_length_c 5.457
_cell_angle_alpha 90.00
_cell_angle_beta 90.00
_cell_angle_gamma 90.00
loop_
_atom_site_label
_atom_site_type_symbol
_atom_site_fract_x
_atom_site_fract_y
_atom_site_fract_z
Cs1 Cs 0.000 0.000 0.000
K1 K 0.500 0.500 0.500
Hf1 Hf 0.000 0.500 0.500
```

As for the spin magnetization: 1.907 Bohr magnetons per cell. The value obtained for the energy of formation is 1149.5 kJ/mol of formula units.

***

Volume? In order: 20.90 54.93 39.60 34.91 28.78 32.85 69.51 32.50 Å³/atom.